Material: Pu2ThAu6
Method: DFT, PBE
State: relaxed

a = 8.4015 Å, b = 8.4015 Å, c = 9.8311 Å
α = 90.00°, β = 90.00°, γ = 120.00°
Space group R-3m (No. 166, hexagonal axes)
One atom of each set of equivalent atoms:
Pu 0.0000 0.0000 0.1630 [6 per cell]
Th 0.0000 0.0000 0.5000 [3 per cell]
Au 0.0002 0.3333 0.3333 [18 per cell]

Summary:
Energy of formation = -548 meV/atom
Final energy = -182.047 eV for the cell shown
D(E_F) = 2.675 states/eV/atom



Material: PuThAu2
Method: DFT, PBE
State: relaxed

a = 7.364 Å, b = 7.364 Å, c = 7.364 Å
α = 90.00°, β = 90.00°, γ = 90.00°
Space group Fm-3m (No. 225)
One atom of each set of equivalent atoms:
Pu 0.000 0.000 0.000 [4 per cell]
Th 0.000 0.000 0.500 [4 per cell]
Au 0.250 0.250 0.250 [8 per cell]

Summary:
Energy of formation = -477 meV/atom
Final energy = -120.862 eV for the cell shown
Energy above the lowest structure with this stoichiometry = 0.05 eV per formula unit
D(E_F) = 3.149 states/eV/atom



Material: PuThAu2
Method: DFT, PBE
State: relaxed

a = 3.604 Å, b = 3.604 Å, c = 7.666 Å
α = 90.00°, β = 90.00°, γ = 90.00°
Space group P4/mmm (No. 123)
One atom of each set of equivalent atoms:
Pu 0.000 0.000 0.000 [1 per cell]
Th 0.000 0.000 0.500 [1 per cell]
Au 0.500 0.500 0.248 [2 per cell]

Summary:
Energy of formation = -482 meV/atom
Final energy = -30.234 eV for the cell shown
Energy above the lowest structure with this stoichiometry = 0.03 eV per formula unit
D(E_F) = 2.477 states/eV/atom



Material: PuThAu3
Method: DFT, PBE
State: relaxed

a = 14.651 Å, b = 9.086 Å, c = 7.477 Å
α = 90.00°, β = 90.00°, γ = 90.00°
Space group Cmcm (No. 63)
One atom of each set of equivalent atoms:
Pu 0.000 0.004 0.250 [4 per cell]
Pu 0.000 0.282 0.750 [4 per cell]
Th 0.246 0.062 0.750 [8 per cell]
Au 0.097 0.500 0.000 [8 per cell]
Au 0.138 0.193 0.051 [16 per cell]

Summary:
Energy of formation = -421 meV/atom
Final energy = -269.513 eV for the cell shown
Energy above the lowest structure with this stoichiometry = 0.68 eV per formula unit
D(E_F) = 1.986 states/eV/atom



Material: Pu2ThAu
Method: DFT, PBE
State: relaxed

a = 3.707 Å, b = 3.707 Å, c = 7.659 Å
α = 90.00°, β = 90.00°, γ = 90.00°
Space group P4/mmm (No. 123)
One atom of each set of equivalent atoms:
Pu 0.000 0.000 0.217 [2 per cell]
Th 0.500 0.500 0.500 [1 per cell]
Au 0.500 0.500 0.000 [1 per cell]

Summary:
Energy of formation = -101 meV/atom
Final energy = -39.764 eV for the cell shown
Energy above the lowest structure with this stoichiometry = 0.17 eV per formula unit
D(E_F) = 3.668 states/eV/atom



Material: PuTh2Au
Method: DFT, PBE
State: relaxed

a = 7.484 Å, b = 7.484 Å, c = 7.484 Å
α = 90.00°, β = 90.00°, γ = 90.00°
Space group Fm-3m (No. 225)
One atom of each set of equivalent atoms:
Pu 0.000 0.000 0.000 [4 per cell]
Th 0.250 0.250 0.250 [8 per cell]
Au 0.000 0.000 0.500 [4 per cell]

Summary:
Energy of formation = -131 meV/atom
Final energy = -131.900 eV for the cell shown
Energy above the lowest structure with this stoichiometry = 0.50 eV per formula unit
D(E_F) = 3.197 states/eV/atom



Material: PuThAu
Method: DFT, PBE
State: relaxed

a = 4.9842 Å, b = 4.9842 Å, c = 3.5342 Å
α = 90.00°, β = 90.00°, γ = 120.00°
Space group P3m1 (No. 156)
One atom of each set of equivalent atoms:
Pu 0.0000 0.0000 0.0000 [1 per cell]
Th 0.3333 0.6667 0.6525 [1 per cell]
Au 0.6667 0.3333 0.3001 [1 per cell]

Summary:
Energy of formation = -178 meV/atom
Final energy = -25.563 eV for the cell shown
Energy above the lowest structure with this stoichiometry = 0.20 eV per formula unit
D(E_F) = 2.020 states/eV/atom



Material: PuTh2Au
Method: DFT, PBE
State: relaxed

a = 3.6375 Å, b = 3.6375 Å, c = 29.8694 Å
α = 90.00°, β = 90.00°, γ = 120.00°
Space group R3m (No. 160, hexagonal axes)
One atom of each set of equivalent atoms:
Pu 0.0000 0.0000 0.0000 [3 per cell]
Th 0.0000 0.0000 0.2423 [3 per cell]
Th 0.0000 0.0000 0.4207 [3 per cell]
Au 0.0000 0.0000 0.8303 [3 per cell]

Summary:
Energy of formation = -89 meV/atom
Final energy = -98.413 eV for the cell shown
Energy above the lowest structure with this stoichiometry = 0.67 eV per formula unit
D(E_F) = 2.225 states/eV/atom



Material: Pu2Th2Au3
Method: DFT, PBE
State: relaxed

a = 3.607 Å, b = 28.552 Å, c = 3.560 Å
α = 90.00°, β = 90.00°, γ = 90.00°
Space group Cmmm (No. 65)
One atom of each set of equivalent atoms:
Pu 0.000 0.202 0.000 [4 per cell]
Th 0.000 0.070 0.000 [4 per cell]
Au 0.000 0.361 0.500 [4 per cell]
Au 0.000 0.500 0.500 [2 per cell]

Summary:
Energy of formation = -325 meV/atom
Final energy = -111.217 eV for the cell shown
D(E_F) = 2.782 states/eV/atom



Material: PuThAu
Method: DFT, PBE
State: relaxed

a = 3.793 Å, b = 3.793 Å, c = 10.721 Å
α = 90.00°, β = 90.00°, γ = 90.00°
Space group I4mm (No. 107)
One atom of each set of equivalent atoms:
Pu 0.000 0.000 0.000 [2 per cell]
Th 0.000 0.000 0.315 [2 per cell]
Au 0.000 0.000 0.659 [2 per cell]

Summary:
Energy of formation = -246 meV/atom
Final energy = -51.532 eV for the cell shown
Energy above the lowest structure with this stoichiometry = 0.00 eV per formula unit
D(E_F) = 2.730 states/eV/atom



Material: Pu5ThAu6
Method: DFT, PBE
State: relaxed

a = 15.353 Å, b = 7.569 Å, c = 5.086 Å
α = 90.00°, β = 100.74°, γ = 90.00°
Space group C2/m (No. 12)
One atom of each set of equivalent atoms:
Pu 0.000 0.000 0.000 [2 per cell]
Pu 0.161 0.000 0.664 [4 per cell]
Pu 0.177 0.500 0.661 [4 per cell]
Th 0.000 0.500 0.000 [2 per cell]
Au 0.000 0.262 0.500 [4 per cell]
Au 0.165 0.257 0.158 [8 per cell]

Summary:
Energy of formation = -422 meV/atom
Final energy = -207.617 eV for the cell shown
D(E_F) = 4.027 states/eV/atom



Material: PuTh2Au2
Method: DFT, PBE
State: relaxed

a = 8.450 Å, b = 8.450 Å, c = 3.768 Å
α = 90.00°, β = 90.00°, γ = 90.00°
Space group P4/mbm (No. 127)
One atom of each set of equivalent atoms:
Pu 0.000 0.000 0.000 [2 per cell]
Th 0.175 0.325 0.500 [4 per cell]
Au 0.123 0.623 0.000 [4 per cell]

Summary:
Energy of formation = -418 meV/atom
Final energy = -75.637 eV for the cell shown
D(E_F) = 2.291 states/eV/atom